No. 1
First-principles (PBE) data for a geometry-optimized TiAg3Pb structure, as listed in Alexandria via LeMat-Bulk.

a = 5.091 Å, b = 5.091 Å, c = 5.091 Å
α = 90.00°, β = 90.00°, γ = 90.00°
Fractional coordinates of all 5 atoms:
Ti: 0.000 0.000 0.000
Ag: 0.000 0.000 0.500
Ag: 0.000 0.500 0.000
Ag: 0.500 0.000 0.000
Pb: 0.500 0.500 0.500

## Properties
Energy of formation from the pure elements in eV/atom: 0.8566
Magnetic moment in μB per atom: 0.37
Symmetry: No. 221

No. 2
First-principles (PBE) data for a geometry-optimized CeSmDy3Ho structure, as listed in Alexandria via LeMat-Bulk.

a = 6.521 Å, b = 6.521 Å, c = 11.449 Å
α = 90.00°, β = 90.00°, γ = 128.09°
Fractional coordinates of all 12 atoms:
Ce: 0.026 0.974 0.750
Ce: 0.974 0.026 0.250
Sm: 0.500 0.500 0.000
Sm: 0.500 0.500 0.500
Dy: 0.174 0.826 0.025
Dy: 0.174 0.826 0.475
Dy: 0.354 0.646 0.250
Dy: 0.646 0.354 0.750
Dy: 0.826 0.174 0.525
Dy: 0.826 0.174 0.975
Ho: 0.329 0.671 0.750
Ho: 0.671 0.329 0.250

## Properties
Energy of formation from the pure elements in eV/atom: 0.1618
Magnetic moment in μB per atom: 0.26
Symmetry: No. 63

No. 3
First-principles (PBE) data for a geometry-optimized CrPPt4 structure, as listed in Alexandria via LeMat-Bulk.

a = 5.252 Å, b = 5.252 Å, c = 5.252 Å
α = 60.00°, β = 60.00°, γ = 60.00°
Fractional coordinates of all 6 atoms:
Cr: 0.000 0.000 0.000
P: 0.750 0.750 0.750
Pt: 0.375 0.375 0.375
Pt: 0.375 0.375 0.875
Pt: 0.375 0.875 0.375
Pt: 0.875 0.375 0.375

## Properties
Energy of formation from the pure elements in eV/atom: 0.3233
Magnetic moment in μB per atom: 0.60
Symmetry: No. 216

No. 4
First-principles (PBE) data for a geometry-optimized Pm4Te2N structure, as listed in Alexandria via LeMat-Bulk.

a = 15.822 Å, b = 3.956 Å, c = 7.052 Å
α = 90.00°, β = 116.14°, γ = 90.00°
Fractional coordinates of all 14 atoms:
Pm: 0.096 0.000 0.240
Pm: 0.102 0.500 0.811
Pm: 0.398 0.000 0.189
Pm: 0.404 0.500 0.760
Pm: 0.596 0.500 0.240
Pm: 0.602 0.000 0.811
Pm: 0.898 0.500 0.189
Pm: 0.904 0.000 0.760
Te: 0.239 0.000 0.730
Te: 0.261 0.500 0.270
Te: 0.739 0.500 0.730
Te: 0.761 0.000 0.270
N: 0.000 0.500 0.000
N: 0.500 0.000 0.000

## Properties
Formation energy (no corrections) in eV per atom: -1.08
Magnetic moment in μB per atom: 0.15
Symmetry: No. 12

No. 5
First-principles (PBE) data for a geometry-optimized Cr2IrW structure, as listed in Alexandria via LeMat-Bulk.

a = 2.937 Å, b = 4.324 Å, c = 8.531 Å
α = 90.00°, β = 90.00°, γ = 90.00°
Fractional coordinates of all 8 atoms:
Cr: 0.000 0.000 0.000
Cr: 0.000 0.500 0.290
Cr: 0.500 0.000 0.790
Cr: 0.500 0.500 0.500
Ir: 0.000 0.500 0.762
Ir: 0.500 0.000 0.262
W: 0.000 0.000 0.533
W: 0.500 0.500 0.033

## Properties
Energy of formation from the pure elements in eV/atom: 0.0400
Magnetic moment in μB per atom: 0.00
Symmetry: No. 44

No. 6
First-principles (PBE) data for a geometry-optimized Ac2In6Ir structure, as listed in Alexandria via LeMat-Bulk.

a = 6.810 Å, b = 6.810 Å, c = 6.065 Å
α = 90.00°, β = 90.00°, γ = 120.00°
Fractional coordinates of all 9 atoms:
Ac: 0.333 0.667 0.300
Ac: 0.667 0.333 0.700
In: 0.171 0.342 0.802
In: 0.171 0.829 0.802
In: 0.342 0.171 0.198
In: 0.658 0.829 0.802
In: 0.829 0.171 0.198
In: 0.829 0.658 0.198
Ir: 0.000 0.000 0.500

## Properties
Energy of formation from the pure elements in eV/atom: -0.3696
Magnetic moment in μB per atom: 0.00
Symmetry: No. 164

No. 7
First-principles (PBE) data for a geometry-optimized Tm3Ga2Pb2 structure, as listed in Alexandria via LeMat-Bulk.

a = 4.288 Å, b = 4.360 Å, c = 18.964 Å
α = 90.00°, β = 90.00°, γ = 90.00°
Fractional coordinates of all 14 atoms:
Tm: 0.000 0.000 0.000
Tm: 0.000 0.500 0.323
Tm: 0.000 0.500 0.677
Tm: 0.500 0.000 0.177
Tm: 0.500 0.000 0.823
Tm: 0.500 0.500 0.500
Ga: 0.000 0.000 0.437
Ga: 0.000 0.000 0.563
Ga: 0.500 0.500 0.063
Ga: 0.500 0.500 0.937
Pb: 0.000 0.500 0.157
Pb: 0.000 0.500 0.843
Pb: 0.500 0.000 0.343
Pb: 0.500 0.000 0.657

## Properties
Energy of formation from the pure elements in eV/atom: -0.3952
Magnetic moment in μB per atom: 0.00
Symmetry: No. 71

No. 8
First-principles (PBE) data for a geometry-optimized Tb6Ho3Er structure, as listed in Alexandria via LeMat-Bulk.

a = 10.929 Å, b = 10.929 Å, c = 6.165 Å
α = 90.00°, β = 90.00°, γ = 119.90°
Fractional coordinates of all 20 atoms:
Tb: 0.046 0.954 0.500
Tb: 0.047 0.467 0.941
Tb: 0.280 0.720 0.226
Tb: 0.289 0.381 0.119
Tb: 0.381 0.289 0.619
Tb: 0.467 0.047 0.441
Tb: 0.533 0.953 0.941
Tb: 0.619 0.711 0.119
Tb: 0.711 0.619 0.619
Tb: 0.720 0.280 0.726
Tb: 0.953 0.533 0.441
Tb: 0.954 0.046 0.000
Ho: 0.059 0.279 0.541
Ho: 0.279 0.059 0.041
Ho: 0.389 0.611 0.653
Ho: 0.611 0.389 0.153
Ho: 0.721 0.941 0.541
Ho: 0.941 0.721 0.041
Er: 0.205 0.795 0.720
Er: 0.795 0.205 0.220

## Properties
Energy of formation from the pure elements in eV/atom: 0.1482
Magnetic moment in μB per atom: 0.00
Symmetry: No. 36